# 1
First-principles (meta-GGA SCAN) data for a PBEsol-optimized structure of ReNi2Pb, as listed in Alexandria.

Calculated values
formation enthalpy at 0 K = 0.657 eV/atom
V = 114 Å³ per cell

Cell lengths 2.9450, 4.4079, 8.7847 Å; angles 90.00, 90.00, 90.00 degrees
Space group Imm2 (No. 44)
Unique sites:
Re: 0.0000 0.0000 0.0000 [2 per cell]
Ni: 0.0000 0.0000 0.5284 [2 per cell]
Ni: 0.0000 0.5000 0.2510 [2 per cell]
Pb: 0.0000 0.5000 0.7779 [2 per cell]

***

# 2
First-principles (meta-GGA SCAN) data for a PBEsol-optimized structure of ReNi2Pb, as listed in Alexandria.

Calculated values
formation enthalpy at 0 K = 0.780 eV/atom
V = 234 Å³ per cell

Cell lengths 6.1657, 6.1657, 6.1657 Å; angles 90.00, 90.00, 90.00 degrees
Space group F-43m (No. 216)
Unique sites:
Re: 0.0000 0.0000 0.0000 [4 per cell]
Ni: 0.0000 0.0000 0.5000 [4 per cell]
Ni: 0.2500 0.2500 0.2500 [4 per cell]
Pb: 0.2500 0.2500 0.7500 [4 per cell]

***

# 3
First-principles (meta-GGA SCAN) data for a PBEsol-optimized structure of ReNi2Pb, as listed in Alexandria.

Calculated values
formation enthalpy at 0 K = 0.612 eV/atom
V = 182 Å³ per cell

Cell lengths 2.8757, 2.8757, 25.3469 Å; angles 90.00, 90.00, 120.00 degrees
Space group R-3m (No. 166, hexagonal axes)
Unique sites:
Re: 0.0000 0.0000 0.0000 [3 per cell]
Ni: 0.0000 0.0000 0.2571 [6 per cell]
Pb: 0.0000 0.0000 0.5000 [3 per cell]

***

Q: Which formula does entry 1 have?
A: ReNi2Pb

***

Q: Which value of formation enthalpy at 0 K does entry 3 give?
A: 0.612 eV/atom

***

Q: Which value of V does entry 2 give?
A: 234 Å³ per cell